Entry a
Entry from the Alexandria database: Mn2CdHg after structural relaxation (GGA-PBE).

Cell lengths 9.906, 9.906, 9.906 Å; angles 17.26, 17.26, 17.26 degrees
Last column: magnetic moment on the atom in μB.
Element x y z (fractional)
Cd 0.508 0.508 0.508  -0.01
Hg 0.742 0.742 0.742  0.00
Mn 0.993 0.993 0.993  3.52
Mn 0.257 0.257 0.257  3.49

M_tot ... 7.3 Bohr magnetons per cell
Crystal system ... trigonal



Entry b
Entry from the Alexandria database: Mn2CdHg after structural relaxation (GGA-PBE).

Cell lengths 3.048, 5.287, 5.778 Å; angles 52.60, 90.00, 90.00 degrees
Last column: magnetic moment on the atom in μB.
Element x y z (fractional)
Cd 0.500 0.500 0.500  -0.06
Hg 0.000 0.000 0.500  -0.05
Mn 0.000 0.000 0.000  3.67
Mn 0.500 0.500 0.000  3.71

M_tot ... 7.5 Bohr magnetons per cell
Crystal system ... monoclinic



Entry c
Entry from the Alexandria database: Mn2CdHg after structural relaxation (GGA-PBE).

Cell lengths 3.019, 3.019, 7.715 Å; angles 90.00, 90.00, 90.00 degrees
Last column: magnetic moment on the atom in μB.
Element x y z (fractional)
Cd 0.000 0.000 0.469  0.03
Hg 0.500 0.500 0.780  -0.02
Mn 0.000 0.000 0.038  3.20
Mn 0.500 0.500 0.213  -3.12

M_tot ... 0.1 Bohr magnetons per cell
Crystal system ... tetragonal



Pick the most stable structure from those above. Pick: entry c